(1)
# Ce3Cu3Sn4, optimized geometry, DFT GGA-PBE
data_Ce3Cu3Sn4
_chemical_formula_sum 'Ce12 Cu12 Sn16'
_cell_length_a 9.6891
_cell_length_b 9.6891
_cell_length_c 9.6891
_cell_angle_alpha 90.00
_cell_angle_beta 90.00
_cell_angle_gamma 90.00
_symmetry_space_group_name_H-M 'I -4 3 d'
_symmetry_Int_Tables_number 220
_symmetry_space_group_name_Hall 'I -4bd 2c 3'
loop_
_atom_site_label
_atom_site_fract_x
_atom_site_fract_y
_atom_site_fract_z
Ce1 0.0000 0.2500 0.3750
Cu1 0.0000 0.2500 0.8750
Sn1 0.0813 0.0813 0.0813
# * formation enthalpy at 0 K: -51 kJ/mol of atoms

---

(2)
# PmNd3Tm12, optimized geometry, DFT GGA-PBE
data_PmNd3Tm12
_chemical_formula_sum 'Pm1 Nd3 Tm12'
_cell_length_a 4.9971
_cell_length_b 4.9971
_cell_length_c 20.0021
_cell_angle_alpha 90.00
_cell_angle_beta 90.00
_cell_angle_gamma 90.00
_symmetry_space_group_name_H-M 'P 4/m m m'
_symmetry_Int_Tables_number 123
_symmetry_space_group_name_Hall '-P 4 2'
loop_
_atom_site_label
_atom_site_fract_x
_atom_site_fract_y
_atom_site_fract_z
Pm1 0.0000 0.0000 0.0000
Nd1 0.0000 0.0000 0.2498
Nd2 0.0000 0.0000 0.5000
Tm1 0.0000 0.5000 0.1246
Tm2 0.0000 0.5000 0.3748
Tm3 0.5000 0.5000 0.0000
Tm4 0.5000 0.5000 0.2497
Tm5 0.5000 0.5000 0.5000
# * formation enthalpy at 0 K: 3 kJ/mol of atoms

---

(3)
# CoH, optimized geometry, DFT GGA-PBE
data_CoH
_chemical_formula_sum 'Co6 H6'
_cell_length_a 2.5380
_cell_length_b 6.4353
_cell_length_c 5.2425
_cell_angle_alpha 90.00
_cell_angle_beta 90.00
_cell_angle_gamma 90.00
_symmetry_space_group_name_H-M 'A m m 2'
_symmetry_Int_Tables_number 38
_symmetry_space_group_name_Hall 'A 2 -2'
loop_
_atom_site_label
_atom_site_fract_x
_atom_site_fract_y
_atom_site_fract_z
Co1 0.0000 0.0000 0.0000
Co2 0.5000 0.2055 0.3140
H1 0.0000 0.2335 0.5579
H2 0.5000 0.0000 0.7835
# * raw total energy: -5.086 eV/atom

---

(4)
# In5Co4, optimized geometry, DFT GGA-PBE
data_In5Co4
_chemical_formula_sum 'In10 Co8'
_cell_length_a 7.8442
_cell_length_b 7.8442
_cell_length_c 5.6019
_cell_angle_alpha 90.00
_cell_angle_beta 90.00
_cell_angle_gamma 120.00
_symmetry_space_group_name_H-M 'P 63/m c m'
_symmetry_Int_Tables_number 193
_symmetry_space_group_name_Hall '-P 6c 2'
loop_
_atom_site_label
_atom_site_fract_x
_atom_site_fract_y
_atom_site_fract_z
In1 0.0000 0.2809 0.2500
In2 0.3333 0.6667 0.0000
Co1 0.0000 0.0000 0.0000
Co2 0.0000 0.3837 0.7500
# * formation enthalpy at 0 K: 24 kJ/mol of atoms
# * ΔE to the lowest computed polymorph: 0 meV/atom

---

(5)
# CoBiSeBr2, optimized geometry, DFT GGA-PBE
data_CoBiSeBr2
_chemical_formula_sum 'Co1 Bi1 Se1 Br2'
_cell_length_a 5.2143
_cell_length_b 5.2143
_cell_length_c 5.9286
_cell_angle_alpha 90.00
_cell_angle_beta 90.00
_cell_angle_gamma 90.00
_symmetry_space_group_name_H-M 'P 4/m m m'
_symmetry_Int_Tables_number 123
_symmetry_space_group_name_Hall '-P 4 2'
loop_
_atom_site_label
_atom_site_fract_x
_atom_site_fract_y
_atom_site_fract_z
Co1 0.0000 0.0000 0.0000
Bi1 0.5000 0.5000 0.0000
Se1 0.5000 0.5000 0.5000
Br1 0.0000 0.5000 0.5000
# * ΔE to the lowest computed polymorph: 798 meV/atom
# * formation energy from raw total energies: 0.8623 eV/atom

---

(6)
# Ca2Ga5Rh3, optimized geometry, DFT GGA-PBE
data_Ca2Ga5Rh3
_chemical_formula_sum 'Ca8 Ga20 Rh12'
_cell_length_a 9.8228
_cell_length_b 12.9386
_cell_length_c 5.8023
_cell_angle_alpha 90.00
_cell_angle_beta 90.00
_cell_angle_gamma 90.00
_symmetry_space_group_name_H-M 'I b a m'
_symmetry_Int_Tables_number 72
_symmetry_space_group_name_Hall '-I 2 2c'
loop_
_atom_site_label
_atom_site_fract_x
_atom_site_fract_y
_atom_site_fract_z
Ca1 0.2259 0.1460 0.0000
Ga1 0.0000 0.0000 0.2500
Ga2 0.0000 0.2984 0.2500
Ga3 0.1829 0.4167 0.0000
Rh1 0.0000 0.5000 0.2500
Rh2 0.0798 0.1493 0.5000
# * formation enthalpy at 0 K: -65 kJ/mol of atoms